{"formula": "CaFeF2", "functional": "PBE+U", "state": "relaxed", "lattice": [[0.735, -2.790, -3.240], [2.310, -3.602, 0.720], [-1.958, -3.872, -0.015]], "species": ["Fe", "F", "Ca", "F"], "frac_coords": [[0.500, 0.500, 0.500], [0.750, 0.750, 0.750], [0.000, 0.000, 0.000], [0.250, 0.250, 0.250]], "dft_energy_ev_per_atom": -4.5831, "volume_a3_per_cell": 57.8, "de_polymorph_mev_per_atom": 416, "total_magnetization_mub_per_cell": 3.6, "crystal_system": "cubic", "dos_at_fermi_per_ev_cell": 1.835, "space_group": "Fm-3m, No. 225"}